Entry 1:
Computed, not measured: crystalline NpUV2 at its relaxed geometry at the PBE-GGA level of DFT.

POSCAR file:
```
NpUV2
1.0
3.2080 0.0000 0.0000
0.0000 3.2080 0.0000
0.0000 0.0000 7.1400
Np U V
1 1 2
direct
0.5000 0.5000 0.5000 Np
0.5000 0.5000 0.0000 U
0.0000 0.0000 0.7962 V
0.0000 0.0000 0.2038 V
```

## Properties
Crystal system: tetragonal
DFT formation energy (meV per atom): 521
Space-group type: P4/mmm, No. 123

Entry 2:
Computed, not measured: crystalline Li2Ga3Pd2 at its relaxed geometry at the PBE-GGA level of DFT.

POSCAR file:
```
Li2Ga3Pd2
1.0
3.8225 0.0000 0.0000
-1.9113 4.3018 0.3863
0.0000 -1.4073 6.0926
Li Ga Pd
2 3 2
direct
0.9114 0.8227 0.2722 Li
0.0886 0.1773 0.7278 Li
0.5000 0.0000 0.0000 Ga
0.6392 0.2783 0.4346 Ga
0.3608 0.7217 0.5654 Ga
0.8063 0.6125 0.8422 Pd
0.1937 0.3875 0.1578 Pd
```

## Properties
Crystal system: monoclinic
DFT formation energy (meV per atom): -521
Space-group type: C2/m, No. 12

Entry 3:
Computed, not measured: crystalline Ac2ErCuPd6 at its relaxed geometry at the PBE-GGA level of DFT.

POSCAR file:
```
Ac2ErCuPd6
1.0
5.8416 0.0363 0.0160
-0.0622 8.7725 2.0267
2.8646 5.8869 6.1770
Ac Er Cu Pd
2 1 1 6
direct
0.7898 0.2099 0.4205 Ac
0.2102 0.7901 0.5795 Ac
0.0000 0.0000 0.0000 Er
0.5000 0.5000 0.0000 Cu
0.2556 0.2391 0.4890 Pd
0.7604 0.7440 0.9843 Pd
0.2555 0.7440 0.9843 Pd
0.7445 0.2560 0.0157 Pd
0.2396 0.2560 0.0157 Pd
0.7444 0.7609 0.5110 Pd
```

## Properties
Crystal system: trigonal
DFT formation energy (meV per atom): -552
Space-group type: R-3m, No. 166

Entry 4:
Computed, not measured: crystalline MgMoBr at its relaxed geometry at the PBE-GGA level of DFT.

POSCAR file:
```
MgMoBr
1.0
-3.3350 -1.7223 -3.0963
-3.4661 -3.0217 1.5909
-4.6108 1.5262 0.2941
Br Mg Mo
1 1 1
direct
0.0000 0.0000 0.0000 Br
0.5000 0.5000 0.5000 Mg
0.7500 0.7500 0.7500 Mo
```

## Properties
Crystal system: cubic
Energy relative to the elements, uncorrected (meV/atom): 1001.1
Space-group type: F-43m, No. 216

Entry 5:
Computed, not measured: crystalline LiAg8Au6 at its relaxed geometry at the PBE-GGA level of DFT.

POSCAR file:
```
LiAg8Au6
1.0
7.7649 0.0000 0.0000
3.8824 6.7246 0.0000
3.8825 2.2416 5.6199
Li Ag Au
1 8 6
direct
0.0000 0.0000 0.0000 Li
0.5723 0.1818 0.3882 Ag
0.8182 0.1423 0.6119 Ag
0.1423 0.4277 0.6119 Ag
0.7554 0.7554 0.7339 Ag
0.2446 0.2446 0.2661 Ag
0.8577 0.5723 0.3882 Ag
0.1818 0.8577 0.3882 Ag
0.4277 0.8182 0.6119 Ag
0.3667 0.0562 0.8879 Au
0.9438 0.3108 0.1121 Au
0.3108 0.6333 0.1121 Au
0.6892 0.3667 0.8879 Au
0.0562 0.6892 0.8879 Au
0.6333 0.9438 0.1121 Au
```

## Properties
Crystal system: trigonal
DFT formation energy (meV per atom): -5
Space-group type: R-3, No. 148

Entry 6:
Computed, not measured: crystalline YBiSe2N at its relaxed geometry at the PBE-GGA level of DFT.

POSCAR file:
```
YBiSe2N
1.0
5.5721 0.0000 0.0000
0.0000 5.5721 0.0000
0.0000 0.0000 4.1190
Y Bi Se N
1 1 2 1
direct
0.0000 0.0000 0.0000 Y
0.5000 0.5000 0.5000 Bi
0.0000 0.5000 0.0000 Se
0.5000 0.0000 0.0000 Se
0.0000 0.0000 0.5000 N
```

## Properties
Crystal system: tetragonal
Energy relative to the elements, uncorrected (meV/atom): 23.5
Space-group type: P4/mmm, No. 123

What density of states at the Fermi level values result from the calculations? In sequence: 11.1; 2.2; 4.8; 2.1; 2.9; 6.6 states/eV/f.u..